No. 1
First-principles (PBE) data for a relaxed SrRe2Te crystal, as listed in Alexandria.

Geometry as CIF:
```
data_SrRe2Te
_cell_length_a 3.652
_cell_length_b 5.564
_cell_length_c 9.663
_cell_angle_alpha 90.00
_cell_angle_beta 90.00
_cell_angle_gamma 90.00
_space_group_name_H-M_alt 'I m m 2'
_space_group_IT_number 44
_space_group_name_Hall 'I 2 -2'
loop_
_atom_site_label
_atom_site_type_symbol
_atom_site_fract_x
_atom_site_fract_y
_atom_site_fract_z
Sr1 Sr 0.000 0.000 0.000
Re1 Re 0.000 0.000 0.513
Re2 Re 0.000 0.500 0.174
Te1 Te 0.000 0.500 0.785
```

Properties
Volume   24.541 Å³ per atom
Crystal system   orthorhombic
Magnetization   0.00 Bohr magnetons per cell
VASP energy   -27.21 eV per formula unit

No. 2
First-principles (PBE) data for a relaxed LiMgSi2N4 crystal, as listed in Alexandria.

Geometry as CIF:
```
data_LiMgSi2N4
_cell_length_a 4.136
_cell_length_b 4.136
_cell_length_c 9.802
_cell_angle_alpha 90.00
_cell_angle_beta 90.00
_cell_angle_gamma 90.00
_space_group_name_H-M_alt 'I -4 2 m'
_space_group_IT_number 121
_space_group_name_Hall 'I -4 2'
loop_
_atom_site_label
_atom_site_type_symbol
_atom_site_fract_x
_atom_site_fract_y
_atom_site_fract_z
Li1 Li 0.000 0.000 0.000
Mg1 Mg 0.000 0.000 0.500
Si1 Si 0.000 0.500 0.250
N1 N 0.249 0.249 0.852
```

Properties
Volume   10.482 Å³ per atom
Crystal system   tetragonal
Magnetization   1.98 Bohr magnetons per cell
VASP energy   -54.26 eV per formula unit

No. 3
First-principles (PBE) data for a relaxed Ag5Pb3 crystal, as listed in Alexandria.

Geometry as CIF:
```
data_Ag5Pb3
_cell_length_a 5.501
_cell_length_b 17.416
_cell_length_c 8.388
_cell_angle_alpha 90.00
_cell_angle_beta 108.94
_cell_angle_gamma 90.00
_space_group_name_H-M_alt 'C 1 2/m 1'
_space_group_IT_number 12
_space_group_name_Hall '-C 2y'
loop_
_atom_site_label
_atom_site_type_symbol
_atom_site_fract_x
_atom_site_fract_y
_atom_site_fract_z
Ag1 Ag 0.094 0.143 0.180
Ag2 Ag 0.139 0.416 0.277
Ag3 Ag 0.249 0.500 0.996
Pb1 Pb 0.000 0.203 0.500
Pb2 Pb 0.000 0.306 0.000
Pb3 Pb 0.188 0.000 0.372
```

Properties
Energy above the most stable polymorph in this dataset   17 meV/atom
Volume   23.752 Å³ per atom
Crystal system   monoclinic
ΔH_f (0 K)   0.13 eV per atom
Magnetization   0.00 Bohr magnetons per cell

No. 4
First-principles (PBE) data for a relaxed Pm2ScNb crystal, as listed in Alexandria.

Geometry as CIF:
```
data_Pm2ScNb
_cell_length_a 3.2747
_cell_length_b 3.2747
_cell_length_c 34.3960
_cell_angle_alpha 90.00
_cell_angle_beta 90.00
_cell_angle_gamma 120.00
_space_group_name_H-M_alt 'R -3 m'
_space_group_IT_number 166
_space_group_name_Hall '-R 3 2"'
loop_
_atom_site_label
_atom_site_type_symbol
_atom_site_fract_x
_atom_site_fract_y
_atom_site_fract_z
Pm1 Pm 0.0000 0.0000 0.0851
Sc1 Sc 0.0000 0.0000 0.5000
Nb1 Nb 0.0000 0.0000 0.0000
```

Properties
Volume   26.619 Å³ per atom
Crystal system   trigonal
ΔH_f (0 K)   0.54 eV per atom
Magnetization   0.00 Bohr magnetons per cell

Which value of volume does entry 3 give? 23.752 Å³ per atom

What is the volume in the third record? 23.752 Å³ per atom

Number 1 is which compound? SrRe2Te